Entry 1:
VASP calculation (PBE-GGA) on a relaxed structure of Ti2Pd5Au.

Output
Magnetic moment (μB/cell): 2.41
Total DFT energy (no corrections) (eV/atom): -6.166
Space group: Pbam, No. 55
Density of states at the Fermi level (states/eV/atom): 0.95

Lattice parameters (Å, degrees): 3.9798 5.5896 11.1759 90.00 90.00 90.00
Fractional coordinates of all 16 atoms:
Pd: 0.5000 0.7469 0.1256
Pd: 0.0000 0.0074 0.7507
Pd: 0.5000 0.2469 0.3744
Pd: 0.0000 0.0000 0.0000
Pd: 0.0000 0.9926 0.2493
Pd: 0.5000 0.2531 0.8744
Pd: 0.0000 0.5000 0.5000
Pd: 0.0000 0.4926 0.2507
Pd: 0.0000 0.5074 0.7493
Pd: 0.5000 0.7531 0.6256
Ti: 0.5000 0.2352 0.1308
Ti: 0.5000 0.2648 0.6308
Ti: 0.5000 0.7352 0.3692
Ti: 0.5000 0.7648 0.8692
Au: 0.0000 0.5000 0.0000
Au: 0.0000 0.0000 0.5000

---

Entry 2:
VASP calculation (PBE-GGA) on a relaxed structure of TiPd8Au2.

Output
Magnetic moment (μB/cell): 0.00
Polymorph energy (0 for the lowest one) (meV per atom): 0
Space group: Cmmm, No. 65
Density of states at the Fermi level (states/eV/atom): 0.95

Lattice parameters (Å, degrees): 4.2865 6.7133 6.7134 105.77 89.98 89.98
Fractional coordinates of all 11 atoms:
Pd: 0.0000 0.9628 0.7045
Pd: 0.0000 0.2955 0.0372
Pd: 0.5001 0.3214 0.3214
Pd: 0.5000 0.7684 0.2316
Pd: 0.0000 0.7045 0.9628
Pd: 0.4999 0.6786 0.6786
Pd: 0.5000 0.2316 0.7684
Pd: 0.0000 0.0372 0.2955
Ti: 0.5000 0.0000 0.0000
Au: 0.0000 0.6255 0.3745
Au: 0.0000 0.3745 0.6255

---

Entry 3:
VASP calculation (PBE-GGA) on a relaxed structure of Ti2PdAu.

Output
Magnetic moment (μB/cell): 1.26
Total DFT energy (no corrections) (eV/atom): -6.489
Space group: P4/mmm, No. 123
Density of states at the Fermi level (states/eV/atom): 1.33

Lattice parameters (Å, degrees): 2.8813 2.8813 7.8826 90.00 90.00 90.00
Fractional coordinates of all 4 atoms:
Ti: 0.0000 0.0000 0.2424
Ti: 0.0000 0.0000 0.7576
Pd: 0.5000 0.5000 0.0000
Au: 0.5000 0.5000 0.5000

---

Entry 4:
VASP calculation (PBE-GGA) on a relaxed structure of TiPd7Au3.

Output
Magnetic moment (μB/cell): 0.00
Total DFT energy (no corrections) (eV/atom): -5.107
Space group: P3m1, No. 156
Density of states at the Fermi level (states/eV/atom): 1.05

Lattice parameters (Å, degrees): 6.8853 5.5988 5.5988 120.00 90.00 90.00
Fractional coordinates of all 11 atoms:
Pd: 0.1238 0.1670 0.3340
Pd: 0.4527 0.8349 0.1651
Pd: 0.1238 0.1670 0.8330
Pd: 0.1238 0.6660 0.8330
Pd: 0.4527 0.3301 0.1651
Pd: 0.4527 0.8349 0.6699
Pd: 0.1221 0.6667 0.3333
Ti: 0.4187 0.3333 0.6667
Au: 0.7817 0.4988 0.9975
Au: 0.7817 0.0025 0.5012
Au: 0.7817 0.4988 0.5012

---

Entry 5:
VASP calculation (PBE-GGA) on a relaxed structure of Ti5Pd12Au2.

Output
Magnetic moment (μB/cell): 0.00
Total DFT energy (no corrections) (eV/atom): -6.019
Space group: C2/m, No. 12
Density of states at the Fermi level (states/eV/atom): 0.55

Lattice parameters (Å, degrees): 5.4187 7.8848 8.5140 104.71 90.00 110.10
Fractional coordinates of all 19 atoms:
Au: 0.7534 0.0000 0.0000
Au: 0.2466 0.0000 0.0000
Pd: 0.9575 0.4002 0.1165
Pd: 0.4428 0.4002 0.1165
Pd: 0.4809 0.9617 0.6523
Pd: 0.1023 0.6988 0.3817
Pd: 0.0425 0.5998 0.8835
Pd: 0.5964 0.6988 0.3817
Pd: 0.5191 0.0383 0.3477
Pd: 0.4036 0.3012 0.6183
Pd: 0.8977 0.3012 0.6183
Pd: 0.5572 0.5998 0.8835
Pd: 0.8812 0.7624 0.6770
Pd: 0.1188 0.2376 0.3230
Ti: 0.6988 0.3976 0.3826
Ti: 0.3012 0.6024 0.6174
Ti: 0.3688 0.7375 0.1253
Ti: 0.6312 0.2625 0.8747
Ti: 0.0000 0.0000 0.5000

---

Entry 6:
VASP calculation (PBE-GGA) on a relaxed structure of Ti2Pd2Au5.

Output
Magnetic moment (μB/cell): 0.01
Total DFT energy (no corrections) (eV/atom): -4.939
Space group: Amm2, No. 38
Density of states at the Fermi level (states/eV/atom): 0.72

Lattice parameters (Å, degrees): 4.6077 8.0061 9.5507 114.78 103.96 90.00
Fractional coordinates of all 18 atoms:
Au: 0.9173 0.1215 0.8345
Au: 0.8358 0.7062 0.6715
Au: 0.0827 0.2870 0.1655
Au: 0.6642 0.5347 0.3285
Au: 0.2499 0.7868 0.5000
Au: 0.1642 0.0347 0.3285
Au: 0.7501 0.2868 0.5000
Au: 0.5828 0.7870 0.1655
Au: 0.3358 0.2062 0.6715
Au: 0.4172 0.6215 0.8345
Ti: 0.5831 0.1202 0.1663
Ti: 0.9169 0.4540 0.8337
Ti: 0.0831 0.6202 0.1663
Ti: 0.4169 0.9540 0.8337
Pd: 0.5000 0.3716 0.0000
Pd: 0.7499 0.9540 0.5000
Pd: 0.2501 0.4540 0.5000
Pd: 0.0000 0.8716 0.0000

---

Entry 7:
VASP calculation (PBE-GGA) on a relaxed structure of Ti2Pd3Au4.

Output
Magnetic moment (μB/cell): 0.00
Total DFT energy (no corrections) (eV/atom): -5.383
Space group: C2/m, No. 12
Density of states at the Fermi level (states/eV/atom): 0.41

Lattice parameters (Å, degrees): 3.9561 5.0213 8.4672 74.57 76.49 66.80
Fractional coordinates of all 9 atoms:
Au: 0.6659 0.5591 0.1092
Au: 0.9975 0.6732 0.3317
Au: 0.0025 0.3268 0.6683
Au: 0.3341 0.4409 0.8908
Ti: 0.6714 0.8910 0.7663
Ti: 0.3286 0.1090 0.2337
Pd: 0.3246 0.7875 0.5633
Pd: 0.0000 0.0000 0.0000
Pd: 0.6754 0.2125 0.4367

---

Entry 8:
VASP calculation (PBE-GGA) on a relaxed structure of Ti2PdAu4.

Output
Magnetic moment (μB/cell): 0.00
Total DFT energy (no corrections) (eV/atom): -5.078
Space group: P2_1/m, No. 11
Density of states at the Fermi level (states/eV/atom): 0.75

Lattice parameters (Å, degrees): 6.8462 5.2605 7.7371 90.00 117.64 90.00
Fractional coordinates of all 14 atoms:
Pd: 0.2270 0.7500 0.1725
Pd: 0.7730 0.2500 0.8275
Au: 0.0000 0.7500 0.7749
Au: 0.6038 0.0008 0.2186
Au: 0.3962 0.9992 0.7814
Au: 0.6038 0.4992 0.2186
Au: 0.0000 0.2500 0.2251
Au: 0.9412 0.2500 0.5733
Au: 0.3962 0.5008 0.7814
Au: 0.0588 0.7500 0.4267
Ti: 0.8046 0.7500 0.0126
Ti: 0.4421 0.2500 0.4718
Ti: 0.5579 0.7500 0.5282
Ti: 0.1954 0.2500 0.9874

---

Entry 9:
VASP calculation (PBE-GGA) on a relaxed structure of Ti2Pd4Au.

Output
Magnetic moment (μB/cell): 0.00
Polymorph energy (0 for the lowest one) (meV per atom): 0
Space group: P1, No. 1
Density of states at the Fermi level (states/eV/atom): 0.70

Lattice parameters (Å, degrees): 7.3357 7.3950 6.4547 126.51 92.56 117.74
Fractional coordinates of all 14 atoms:
Ti: 0.6135 0.1158 0.7073
Ti: 0.6843 0.8170 0.1702
Ti: 0.0820 0.4453 0.7435
Ti: 0.5633 0.4232 0.2556
Pd: 0.8279 0.2596 0.2089
Pd: 0.4847 0.6948 0.7101
Pd: 0.7717 0.5430 0.7152
Pd: 0.4172 0.9800 0.2235
Pd: 0.8955 0.9949 0.6903
Pd: 0.3515 0.2778 0.7281
Pd: 0.9566 0.6724 0.2004
Pd: 0.2826 0.5554 0.2107
Au: 0.1994 0.8470 0.7170
Au: 0.1198 0.1237 0.2190

---

Entry 10:
VASP calculation (PBE-GGA) on a relaxed structure of TiPd3Au2.

Output
Magnetic moment (μB/cell): 0.00
Polymorph energy (0 for the lowest one) (meV per atom): 0
Space group: Cmmm, No. 65
Density of states at the Fermi level (states/eV/atom): 0.56

Lattice parameters (Å, degrees): 3.9092 4.0492 12.2204 90.00 90.00 90.00
Fractional coordinates of all 12 atoms:
Ti: 0.9998 0.7500 0.2500
Ti: 0.0002 0.2500 0.7500
Au: 0.9998 0.2500 0.0884
Au: 0.0002 0.7500 0.5884
Au: 0.0002 0.7500 0.9116
Au: 0.9998 0.2500 0.4116
Pd: 0.5003 0.7500 0.7500
Pd: 0.4999 0.7500 0.4101
Pd: 0.4997 0.2500 0.2500
Pd: 0.4999 0.7500 0.0899
Pd: 0.5001 0.2500 0.5899
Pd: 0.5001 0.2500 0.9101

---

Entry 11:
VASP calculation (PBE-GGA) on a relaxed structure of Ti2PdAu6.

Output
Magnetic moment (μB/cell): 1.32
Total DFT energy (no corrections) (eV/atom): -4.811
Space group: C2/m, No. 12
Density of states at the Fermi level (states/eV/atom): 0.70

Lattice parameters (Å, degrees): 3.9778 6.5666 6.5977 108.88 107.54 90.00
Fractional coordinates of all 9 atoms:
Au: 0.2815 0.1650 0.5630
Au: 0.7185 0.8350 0.4370
Au: 0.6046 0.1628 0.2092
Au: 0.8409 0.5032 0.6817
Au: 0.3954 0.8372 0.7908
Au: 0.1591 0.4968 0.3183
Ti: 0.9430 0.1709 0.8860
Ti: 0.0570 0.8291 0.1140
Pd: 0.5000 0.5000 0.0000

---

Entry 12:
VASP calculation (PBE-GGA) on a relaxed structure of Ti2PdAu3.

Output
Magnetic moment (μB/cell): 4.72
Total DFT energy (no corrections) (eV/atom): -5.453
Space group: Cmmm, No. 65
Density of states at the Fermi level (states/eV/atom): 1.06

Lattice parameters (Å, degrees): 4.1962 7.7501 7.6609 120.39 105.89 90.00
Fractional coordinates of all 12 atoms:
Pd: 0.0000 0.5000 0.0000
Pd: 0.0000 0.0000 0.0000
Ti: 0.3336 0.8336 0.6672
Ti: 0.6664 0.1664 0.3328
Ti: 0.6664 0.6664 0.3328
Ti: 0.3336 0.3336 0.6672
Au: 0.5000 0.7500 0.0000
Au: 0.8311 0.5811 0.6621
Au: 0.5000 0.2500 0.0000
Au: 0.8311 0.0811 0.6621
Au: 0.1689 0.4189 0.3379
Au: 0.1689 0.9189 0.3379